# Be3Cr2 | Alexandria via LeMat-Bulk | PBE | optimized geometry
# - DFT formation energy (kJ/mol of formula units) = -22.4
# - polymorph energy (0 for the lowest one) (meV per atom) = 0
# - Fermi-level density of states (states/eV/f.u.) = 1.99
data_Be3Cr2
_symmetry_space_group_name_H-M 'F d d 2'
_symmetry_Int_Tables_number 43
_symmetry_space_group_name_Hall 'F 2 -2d'
_cell_length_a 7.5793
_cell_length_b 11.0130
_cell_length_c 4.4053
_cell_angle_alpha 90.00
_cell_angle_beta 90.00
_cell_angle_gamma 90.00
loop_
_atom_site_label
_atom_site_fract_x
_atom_site_fract_y
_atom_site_fract_z
Be1 0.0000 0.0000 0.0000
Be2 0.0721 0.3828 0.1587
Cr1 0.0725 0.3040 0.6665